(1)
Ca2I2O after structural relaxation. Source: the Alexandria database, functional PBE.

The calculated total energy is -4.461 eV per atom. As for the formation energy from raw total energies: -2.049 eV per atom.

The space group is C2/m (No. 12) and the conventional cell measures 13.9470, 6.4856 and 8.8468 Å, with angles of 90.00, 123.40 and 90.00 degrees. The distinct sites, in fractional coordinates, are Ca at (0.0261, 0.0000, 0.3471), Ca at (0.2086, 0.5000, 0.1397), I at (0.0422, 0.5000, 0.2787), I at (0.1795, 0.0000, 0.1064) and O at (0.1238, 0.0000, 0.6385).



(2)
Ca2I2O after structural relaxation. Source: the Alexandria database, functional PBE.

The calculated total energy is -4.497 eV per atom. As for the formation energy from raw total energies: -2.085 eV per atom.

The space group is C2/m (No. 12) and the conventional cell measures 15.6790, 4.0794 and 12.4423 Å, with angles of 90.00, 127.74 and 90.00 degrees. The distinct sites, in fractional coordinates, are Ca at (0.0550, 0.0000, 0.1916), Ca at (0.2026, 0.0000, 0.5589), I at (0.0142, 0.5000, 0.6748), I at (0.1543, 0.5000, 0.0924) and O at (0.2108, 0.0000, 0.3843).



(3)
CaIO2 after structural relaxation. Source: the Alexandria database, functional PBE.

The relative energy among the computed polymorphs comes out at 0.0 kJ/mol of atoms. The calculated total energy is -4.942 eV per atom. As for the formation energy from raw total energies: -1.575 eV per atom.

The space group is R-3m (No. 166, hexagonal axes) and the conventional cell measures 3.5423, 3.5423 and 19.5171 Å, with angles of 90.00, 90.00 and 120.00 degrees. The distinct sites, in fractional coordinates, are Ca at (0.0000, 0.0000, 0.0000), I at (0.0000, 0.0000, 0.5000) and O at (0.0000, 0.0000, 0.3939).



(4)
CaI3O after structural relaxation. Source: the Alexandria database, functional PBE.

The relative energy among the computed polymorphs comes out at 24.6 kJ/mol of atoms. The calculated total energy is -2.439 eV per atom. As for the formation energy from raw total energies: -0.117 eV per atom.

The space group is Pm-3m (No. 221) and the conventional cell measures 6.1312, 6.1312 and 6.1312 Å, with angles of 90.00, 90.00 and 90.00 degrees. The distinct sites, in fractional coordinates, are Ca at (0.0000, 0.0000, 0.0000), I at (0.0000, 0.0000, 0.5000) and O at (0.5000, 0.5000, 0.5000).



(5)
CaOsI2O after structural relaxation. Source: the Alexandria database, functional PBE.

The relative energy among the computed polymorphs comes out at 102.2 kJ/mol of atoms. The calculated total energy is -3.694 eV per atom. As for the formation energy from raw total energies: 0.564 eV per atom.

The space group is P4/mmm (No. 123) and the conventional cell measures 6.0353, 6.0353 and 4.0780 Å, with angles of 90.00, 90.00 and 90.00 degrees. The distinct sites, in fractional coordinates, are Ca at (0.0000, 0.0000, 0.0000), Os at (0.5000, 0.5000, 0.5000), I at (0.0000, 0.5000, 0.0000) and O at (0.0000, 0.0000, 0.5000).



(6)
CaOsI2O after structural relaxation. Source: the Alexandria database, functional PBE.

The relative energy among the computed polymorphs comes out at 0.0 kJ/mol of atoms. The calculated total energy is -4.753 eV per atom. As for the formation energy from raw total energies: -0.495 eV per atom.

The space group is P4/mmm (No. 123) and the conventional cell measures 5.7237, 5.7237 and 3.7909 Å, with angles of 90.00, 90.00 and 90.00 degrees. The distinct sites, in fractional coordinates, are Ca at (0.0000, 0.0000, 0.0000), Os at (0.5000, 0.5000, 0.5000), I at (0.0000, 0.5000, 0.5000) and O at (0.5000, 0.5000, 0.0000).